{
  "formula": "Ac2Tb3Nd7",
  "functional": "PBE-GGA",
  "state": "relaxed",
  "formation_enthalpy_0k_ev_per_atom": 0.085,
  "crystal_system": "monoclinic",
  "vol_a3_per_cell": 434,
  "n_ef_per_ev_fu": 18.70,
  "spacegroup": "P2/m, No. 10",
  "lattice_angstrom": [[-0.3830, 3.5962, 0.5834], [-6.3865, -0.4610, -1.3506], [0.9965, -2.8806, 18.4113]],
  "species": ["Ac", "Ac", "Tb", "Tb", "Tb", "Nd", "Nd", "Nd", "Nd", "Nd", "Nd", "Nd"],
  "fractional_positions": [[0.5000, 0.3882, 0.3276], [0.5000, 0.6118, 0.6724], [0.5000, 0.5000, 0.0000], [0.0000, 0.8895, 0.3396], [0.0000, 0.1105, 0.6604], [0.5000, 0.2366, 0.4979], [0.5000, 0.7634, 0.5021], [0.0000, 0.4410, 0.1602], [0.0000, 0.0000, 0.0000], [0.0000, 0.5590, 0.8398], [0.5000, 0.0647, 0.8348], [0.5000, 0.9353, 0.1652]]
}